CoAsPO (PBE+U, optimized geometry); final energy = -5.15 eV per atom; volume = 105.1 Å³ per cell
1.0
3.6425 0.0000 0.0000
0.0000 3.6425 0.0000
0.0000 0.0000 7.9185
Co As P O
2 2 2 2
direct
0.2500 0.7500 0.0000
0.7500 0.2500 0.0000
0.2500 0.2500 0.3579
0.7500 0.7500 0.6421
0.2500 0.2500 0.8529
0.7500 0.7500 0.1471
0.2500 0.7500 0.5000
0.7500 0.2500 0.5000